Entry 1:
Crystalline CdRu2Br at its relaxed geometry. Source: Alexandria via LeMat-Bulk, functional PBE-GGA.

Summary:
**Total energy**: -4.293 eV/atom
**ΔE_f (raw)**: 0.99 eV per atom
**Total magnetization**: 0.000 μB/atom
**Energy above the lowest structure with this stoichiometry**: 712 meV per atom
**Crystal system**: cubic

Cell lengths 4.5663, 4.5663, 4.5663 Å; angles 60.00, 60.00, 60.00 degrees
With the nearest neighbours (Å) after each atom.
Atoms (fractional coordinates):
1 Cd 0.0000 0.0000 0.0000  8 Ru 2.80
2 Ru 0.2500 0.2500 0.2500  4 Cd 2.80, 4 Br 2.80
3 Ru 0.7500 0.7500 0.7500  4 Cd 2.80, 4 Br 2.80
4 Br 0.5000 0.5000 0.5000  8 Ru 2.80

=====

Entry 2:
Crystalline BaSiHg at its relaxed geometry. Source: Alexandria via LeMat-Bulk, functional PBE-GGA.

Summary:
**Total energy**: -2.976 eV/atom
**ΔE_f (raw)**: -0.43 eV per atom
**Total magnetization**: 0.000 μB/atom
**Crystal system**: monoclinic

Cell lengths 8.9680, 8.9680, 5.1070 Å; angles 106.53, 106.53, 26.53 degrees
With the nearest neighbours (Å) after each atom.
Atoms (fractional coordinates):
1 Ba 0.1396 0.1396 0.3899  6 Si 3.49-3.57, 6 Hg 3.64-3.71
2 Ba 0.8604 0.8604 0.6101  6 Si 3.49-3.57, 6 Hg 3.64-3.71
3 Si 0.2888 0.2888 0.0392  2 Si 2.43
4 Si 0.7112 0.7112 0.9608  2 Si 2.43
5 Hg 0.4549 0.4549 0.2049  1 Si 2.77, 2 Hg 2.96
6 Hg 0.5451 0.5451 0.7951  1 Si 2.77, 2 Hg 2.96

=====

Entry 3:
Crystalline Mg6HgRh5 at its relaxed geometry. Source: Alexandria via LeMat-Bulk, functional PBE-GGA.

Summary:
**Total energy**: -4.348 eV/atom
**Total magnetization**: 0.000 μB/atom
**Calculated formation energy**: -462 meV per atom
**Crystal system**: monoclinic

Cell lengths 4.4411, 6.4098, 7.0380 Å; angles 90.00, 108.48, 90.00 degrees
With the nearest neighbours (Å) after each atom.
Atoms (fractional coordinates):
1 Mg 0.0000 0.2309 0.0000  6 Rh 2.65-2.77, 2 Hg 2.81, 1 Mg 2.96
2 Mg 0.0000 0.7691 0.0000  6 Rh 2.65-2.77, 2 Hg 2.81, 1 Mg 2.96
3 Mg 0.3276 0.2408 0.6530  7 Rh 2.66-2.78, 1 Hg 2.85
4 Mg 0.3276 0.7592 0.6530  7 Rh 2.66-2.78, 1 Hg 2.85
5 Mg 0.6724 0.2408 0.3470  7 Rh 2.66-2.78, 1 Hg 2.85
6 Mg 0.6724 0.7592 0.3470  7 Rh 2.66-2.78, 1 Hg 2.85
7 Hg 0.5000 0.5000 0.0000  8 Mg 2.81-2.85, 4 Rh 3.09-3.10
8 Rh 0.1609 0.5000 0.3238  8 Mg 2.75-2.78
9 Rh 0.1638 0.0000 0.3291  8 Mg 2.65-2.71
10 Rh 0.5000 0.0000 0.0000  8 Mg 2.67-2.78
11 Rh 0.8362 0.0000 0.6709  8 Mg 2.65-2.71
12 Rh 0.8391 0.5000 0.6762  8 Mg 2.75-2.78